# 1
Computed, not measured: an optimized crystal structure of CoB2Sb at the PBE level of DFT.

Cell lengths 4.757, 4.757, 6.089 Å; angles 67.01, 67.01, 90.00 degrees
Element x y z (fractional)
Sb: 0.000 0.000 0.000
Sb: 0.750 0.250 0.500
B: 0.554 0.125 0.250
B: 0.196 0.625 0.250
B: 0.375 0.446 0.750
B: 0.875 0.804 0.750
Co: 0.500 0.500 0.000
Co: 0.250 0.750 0.500

Values from the calculation:
Raw formation energy: 261 kJ/mol of formula units
Space-group type: No. 122



# 2
Computed, not measured: an optimized crystal structure of RbNa12Bi4 at the PBE level of DFT.

Cell lengths 10.620, 10.620, 10.620 Å; angles 109.47, 109.47, 109.47 degrees
Element x y z (fractional)
Rb: 0.000 0.000 0.000
Na: 0.749 0.262 0.011
Na: 0.262 0.512 0.251
Na: 0.989 0.251 0.738
Na: 0.262 0.011 0.749
Na: 0.011 0.749 0.262
Na: 0.738 0.488 0.749
Na: 0.512 0.251 0.262
Na: 0.488 0.749 0.738
Na: 0.738 0.989 0.251
Na: 0.749 0.738 0.488
Na: 0.251 0.262 0.512
Na: 0.251 0.738 0.989
Bi: 0.000 0.500 0.000
Bi: 0.500 0.000 0.000
Bi: 0.500 0.500 0.500
Bi: 0.000 0.000 0.500

Values from the calculation:
Energy of formation from the pure elements: -0.202 eV/atom
Space-group type: No. 204



# 3
Computed, not measured: an optimized crystal structure of KAu2Br at the PBE level of DFT.

Cell lengths 5.776, 5.776, 5.776 Å; angles 134.83, 113.88, 83.70 degrees
Element x y z (fractional)
Au: 0.933 0.933 0.000
Au: 0.767 0.267 0.500
Br: 0.549 0.549 0.000
K: 0.250 0.750 0.500

Values from the calculation:
Polymorph energy (0 for the lowest one): 0.178 eV per atom
Raw formation energy: -107 kJ/mol of formula units
Space-group type: No. 44



Number 1: E_tot -21.9 eV per formula unit, mass density 5.85 g/cm3. Number 2: E_tot -35.8 eV per formula unit, mass density 2.16 g/cm3. Number 3: E_tot -10.4 eV per formula unit, mass density 7.08 g/cm3.